SrHf3H: optimized geometry, GGA-PBE.

The calculation puts the electronic total energy at -32.972 eV per cell. For the density of states at the Fermi level, the calculation gives 1.21 states/eV per atom. The calculated volume is 20.47 A^3/atom.

a b c (Å): 4.6773 4.6773 4.6773
angles (deg): 90.00 90.00 90.00
Closest atoms and distances in Å follow each position.
Element x y z (fractional)
Sr 0.0000 0.0000 0.0000  12 Hf 3.31
Hf 0.0000 0.5000 0.5000  2 H 2.34
Hf 0.5000 0.0000 0.5000  2 H 2.34
Hf 0.5000 0.5000 0.0000  2 H 2.34
H 0.5000 0.5000 0.5000  6 Hf 2.34